[1]
ErScCoHg: relaxed, PBE.

Computed properties:
Formation energy from the elements: -0.24 eV per atom
Density of states at the Fermi level: 0.6029 states/eV/atom
Symmetry: F-43m (216)
Energy relative to the lowest polymorph listed for this composition: 130 meV per atom

a = 4.862 Å, b = 4.862 Å, c = 4.862 Å
α = 60.00°, β = 60.00°, γ = 60.00°
Each line ends with the local moment (μB).
Fractional positions:
Er  0.500  0.500  0.500  -0.15
Sc  0.000  0.000  0.000  -0.17
Hg  0.750  0.750  0.750  -0.01
Co  0.250  0.250  0.250  1.05

=====

[2]
Pm3Ga2Ge: relaxed, PBE.

Computed properties:
Formation energy from the elements: -0.55 eV per atom
Density of states at the Fermi level: 0.5890 states/eV/atom
Symmetry: C2/c (15)
Energy relative to the lowest polymorph listed for this composition: 68 meV per atom

a = 6.237 Å, b = 6.415 Å, c = 8.277 Å
α = 103.02°, β = 112.13°, γ = 90.00°
Fractional positions:
Ge  0.165  0.250  0.000
Pm  0.288  0.110  0.344
Ga  0.778  0.037  0.321
Pm  0.056  0.610  0.344
Pm  0.712  0.890  0.656
Ge  0.835  0.750  0.000
Ga  0.458  0.463  0.679
Ga  0.542  0.537  0.321
Pm  0.343  0.750  0.000
Pm  0.944  0.390  0.656
Pm  0.657  0.250  0.000
Ga  0.222  0.963  0.679

=====

[3]
HfGa2SbSe: relaxed, PBE.

Computed properties:
Density of states at the Fermi level: 1.0156 states/eV/atom
Symmetry: P4/mmm (123)
ΔE_f (raw): 12.7 kcal/mol of atoms

a = 5.364 Å, b = 5.429 Å, c = 5.364 Å
α = 90.00°, β = 90.00°, γ = 90.00°
Fractional positions:
Ga  0.000  0.000  0.500
Hf  0.000  0.000  0.000
Se  0.500  0.500  0.500
Sb  0.000  0.500  0.000
Ga  0.500  0.000  0.000

=====

[4]
HfBe5Ir: relaxed, PBE.

Computed properties:
Formation energy from the elements: -0.51 eV per atom
Density of states at the Fermi level: 0.2129 states/eV/atom
Symmetry: Pnma (62)

a = 4.366 Å, b = 7.327 Å, c = 9.236 Å
α = 90.00°, β = 90.00°, γ = 90.00°
Fractional positions:
Be  0.506  0.439  0.187
Be  0.250  0.082  0.486
Be  0.006  0.561  0.813
Be  0.506  0.939  0.313
Be  0.994  0.939  0.313
Be  0.250  0.696  0.251
Be  0.494  0.561  0.813
Be  0.750  0.418  0.986
Hf  0.750  0.765  0.066
Hf  0.250  0.735  0.566
Ir  0.250  0.858  0.865
Be  0.250  0.196  0.249
Hf  0.750  0.265  0.434
Be  0.494  0.061  0.687
Ir  0.250  0.358  0.635
Be  0.250  0.582  0.014
Be  0.994  0.439  0.187
Ir  0.750  0.642  0.365
Be  0.006  0.061  0.687
Be  0.250  0.463  0.387
Be  0.250  0.963  0.113
Be  0.750  0.304  0.749
Be  0.750  0.537  0.613
Be  0.750  0.918  0.514
Be  0.750  0.804  0.751
Ir  0.750  0.142  0.135
Be  0.750  0.037  0.887
Hf  0.250  0.235  0.934

=====

[5]
AlCoNi2H: relaxed, PBE.

Computed properties:
Density of states at the Fermi level: 0.7913 states/eV/atom
Symmetry: P4/mmm (123)
Energy relative to the lowest polymorph listed for this composition: 173 meV per atom

a = 3.504 Å, b = 3.504 Å, c = 3.889 Å
α = 90.00°, β = 90.00°, γ = 90.00°
Each line ends with the local moment (μB).
Fractional positions:
Al  0.000  0.000  0.500  -0.02
Ni  0.500  0.000  0.000  0.18
Co  0.500  0.500  0.500  0.91
Ni  0.000  0.500  0.000  0.18
H  0.000  0.000  0.000  0.00

=====

[6]
LiMnW2: relaxed, PBE.

Computed properties:
Formation energy from the elements: 0.90 eV per atom
Density of states at the Fermi level: 0.8549 states/eV/atom
Symmetry: I-42d (122)
Energy relative to the lowest polymorph listed for this composition: 568 meV per atom

a = 6.831 Å, b = 6.831 Å, c = 5.490 Å
α = 51.53°, β = 51.53°, γ = 90.00°
Fractional positions:
W  0.088  0.625  0.250
Li  0.250  0.750  0.500
Mn  0.750  0.250  0.500
W  0.662  0.125  0.250
Li  0.500  0.500  0.000
Mn  0.000  0.000  0.000
W  0.375  0.338  0.750
W  0.875  0.912  0.750

=====

[7]
Be2NbSeI: relaxed, PBE.

Computed properties:
Density of states at the Fermi level: 1.0737 states/eV/atom
Symmetry: P4/mmm (123)
ΔE_f (raw): 21.6 kcal/mol of atoms

a = 5.105 Å, b = 4.791 Å, c = 5.105 Å
α = 90.00°, β = 90.00°, γ = 90.00°
Fractional positions:
Se  0.000  0.500  0.000
Be  0.000  0.000  0.500
Nb  0.000  0.000  0.000
I  0.500  0.500  0.500
Be  0.500  0.000  0.000

=====

[8]
TlGe2SbSe6: relaxed, PBE.

Computed properties:
Symmetry: C2/c (15)
ΔE_f (raw): -4.8 kcal/mol of atoms

a = 7.224 Å, b = 9.786 Å, c = 9.786 Å
α = 77.91°, β = 67.06°, γ = 67.06°
Fractional positions:
Se  0.330  0.949  0.403
Ge  0.854  0.631  0.819
Ge  0.354  0.819  0.631
Se  0.731  0.674  0.601
Se  0.621  0.831  0.980
Ge  0.146  0.369  0.181
Sb  0.250  0.216  0.784
Se  0.769  0.399  0.326
Tl  0.750  0.318  0.682
Se  0.379  0.169  0.020
Se  0.269  0.326  0.399
Ge  0.646  0.181  0.369
Se  0.670  0.051  0.597
Tl  0.250  0.682  0.318
Se  0.121  0.980  0.831
Se  0.170  0.597  0.051
Sb  0.750  0.784  0.216
Se  0.879  0.020  0.169
Se  0.830  0.403  0.949
Se  0.231  0.601  0.674

=====

[9]
Er2ScZn12Ni3: relaxed, PBE.

Computed properties:
Formation energy from the elements: 0.13 eV per atom
Density of states at the Fermi level: 0.5518 states/eV/atom
Symmetry: R-3m (166)

a = 7.933 Å, b = 7.933 Å, c = 7.933 Å
α = 58.41°, β = 58.41°, γ = 58.41°
Fractional positions:
Sc  0.000  0.000  0.000
Zn  0.148  0.759  0.759
Zn  0.759  0.759  0.148
Zn  0.168  0.168  0.529
Zn  0.759  0.148  0.759
Zn  0.832  0.471  0.832
Er  0.413  0.413  0.413
Ni  0.500  0.000  0.000
Zn  0.471  0.832  0.832
Zn  0.529  0.168  0.168
Ni  0.000  0.500  0.000
Zn  0.241  0.852  0.241
Er  0.587  0.587  0.587
Zn  0.241  0.241  0.852
Ni  0.000  0.000  0.500
Zn  0.832  0.832  0.471
Zn  0.852  0.241  0.241
Zn  0.168  0.529  0.168

=====

[10]
BaSr2Pb: relaxed, PBE.

Computed properties:
Formation energy from the elements: -0.22 eV per atom
Density of states at the Fermi level: 0.6222 states/eV/atom
Symmetry: Pmmm (47)

a = 4.129 Å, b = 5.146 Å, c = 8.136 Å
α = 90.00°, β = 90.00°, γ = 90.00°
Fractional positions:
Ba  0.500  0.500  0.250
Sr  0.000  0.000  0.536
Sr  0.000  0.000  0.964
Pb  0.500  0.500  0.750

=====

[11]
CsCu2SbI8: relaxed, PBE.

Computed properties:
Density of states at the Fermi level: 0.3762 states/eV/atom
Symmetry: C2/m (12)
ΔE_f (raw): -9.0 kcal/mol of atoms

a = 7.326 Å, b = 7.326 Å, c = 11.050 Å
α = 70.47°, β = 70.47°, γ = 68.84°
Fractional positions:
I  0.825  0.330  0.775
I  0.626  0.626  0.395
I  0.175  0.670  0.225
Cs  0.000  0.000  0.500
I  0.243  0.243  0.026
I  0.670  0.175  0.225
I  0.757  0.757  0.974
Cu  0.426  0.426  0.808
Cu  0.574  0.574  0.192
I  0.330  0.825  0.775
I  0.374  0.374  0.605
Sb  0.000  0.000  0.000

=====

[12]
NaSr2Tl: relaxed, PBE.

Computed properties:
Formation energy from the elements: -0.23 eV per atom
Density of states at the Fermi level: 0.8671 states/eV/atom
Symmetry: P4/mmm (123)
Energy relative to the lowest polymorph listed for this composition: 0 meV per atom

a = 4.146 Å, b = 4.146 Å, c = 9.286 Å
α = 90.00°, β = 90.00°, γ = 90.00°
Fractional positions:
Sr  0.000  0.000  0.791
Sr  0.000  0.000  0.209
Na  0.500  0.500  0.500
Tl  0.500  0.500  0.000

=====

[13]
LiZnCr2: relaxed, PBE.

Computed properties:
Formation energy from the elements: 0.28 eV per atom
Density of states at the Fermi level: 0.7501 states/eV/atom
Symmetry: P4mm (99)
Energy relative to the lowest polymorph listed for this composition: 100 meV per atom

a = 2.415 Å, b = 2.415 Å, c = 8.668 Å
α = 90.00°, β = 90.00°, γ = 90.00°
Fractional positions:
Cr  0.500  0.500  0.242
Cr  0.000  0.000  0.999
Zn  0.500  0.500  0.755
Li  0.000  0.000  0.503

=====

[14]
K2Cl: relaxed, PBE.

Computed properties:
Density of states at the Fermi level: 0.4041 states/eV/atom
Symmetry: P4/mmm (123)
ΔE_f (raw): -25.9 kcal/mol of atoms
Energy relative to the lowest polymorph listed for this composition: 121 meV per atom

a = 5.569 Å, b = 5.569 Å, c = 3.946 Å
α = 90.00°, β = 90.00°, γ = 90.00°
Fractional positions:
K  0.000  0.500  0.500
Cl  0.000  0.000  0.000
K  0.500  0.000  0.500

=====

[15]
InGeP2: relaxed, PBE.

Computed properties:
Formation energy from the elements: 0.08 eV per atom
Density of states at the Fermi level: 0.3319 states/eV/atom
Symmetry: R-3m (166)
Energy relative to the lowest polymorph listed for this composition: 27 meV per atom

a = 3.757 Å, b = 3.757 Å, c = 6.654 Å
α = 73.60°, β = 73.60°, γ = 60.00°
Fractional positions:
P  0.258  0.258  0.227
Ge  0.000  0.000  0.000
P  0.742  0.742  0.773
In  0.500  0.500  0.500

=====

[16]
Dy4Ho3Sc: relaxed, PBE.

Computed properties:
Formation energy from the elements: 0.01 eV per atom
Density of states at the Fermi level: 1.7011 states/eV/atom
Symmetry: Pmn2_1 (31)
Energy relative to the lowest polymorph listed for this composition: 0 meV per atom

a = 6.193 Å, b = 7.165 Å, c = 11.094 Å
α = 90.00°, β = 90.00°, γ = 90.00°
Fractional positions:
Dy  0.984  0.128  0.246
Ho  0.479  0.378  0.251
Sc  0.647  0.623  0.500
Dy  0.984  0.128  0.754
Dy  0.151  0.873  0.000
Dy  0.645  0.127  0.000
Ho  0.979  0.622  0.751
Ho  0.479  0.378  0.749
Dy  0.484  0.872  0.746
Dy  0.651  0.127  0.500
Ho  0.647  0.623  0.000
Ho  0.147  0.377  0.500
Dy  0.145  0.873  0.500
Dy  0.484  0.872  0.254
Sc  0.147  0.377  0.000
Ho  0.979  0.622  0.249